First-principles (PBE) data for a relaxed MgPa2B2Ru5 crystal, as listed in Alexandria via LeMat-Bulk.

a = 9.620 Å, b = 9.620 Å, c = 3.209 Å
α = 90.00°, β = 90.00°, γ = 90.00°
Fractional coordinates of all 20 atoms:
Mg (0.000, 0.000, 0.000)
Mg (0.500, 0.500, 0.000)
Pa (0.176, 0.324, 0.000)
Pa (0.324, 0.824, 0.000)
Pa (0.676, 0.176, 0.000)
Pa (0.824, 0.676, 0.000)
B (0.122, 0.622, 0.000)
B (0.378, 0.122, 0.000)
B (0.622, 0.878, 0.000)
B (0.878, 0.378, 0.000)
Ru (0.000, 0.500, 0.500)
Ru (0.072, 0.778, 0.500)
Ru (0.222, 0.072, 0.500)
Ru (0.278, 0.572, 0.500)
Ru (0.428, 0.278, 0.500)
Ru (0.500, 0.000, 0.500)
Ru (0.572, 0.722, 0.500)
Ru (0.722, 0.428, 0.500)
Ru (0.778, 0.928, 0.500)
Ru (0.928, 0.222, 0.500)

Summary:
Calculated formation energy, eV per atom: -0.541
Crystal system: tetragonal
E, eV for the cell shown: -171.45